Record 1
First-principles (PBE) data for an optimized crystal structure of Pu2Zn3Ga4Cu, as listed in Alexandria via LeMat-Bulk.

Cell: 4.2065 4.2065 10.5128 Å, 90.00 90.00 90.00°
Each line ends with the local moment (μB).
Positions (direct):
1 Cu 0.5000 0.5000 0.5000  -0.01
2 Ga 0.5000 0.0000 0.6299  -0.03
3 Ga 0.5000 0.5000 0.0000  -0.03
4 Ga 0.0000 0.5000 0.3701  -0.03
5 Ga 0.0000 0.0000 0.0000  -0.04
6 Zn 0.5000 0.0000 0.8610  -0.02
7 Zn 0.0000 0.0000 0.5000  -0.03
8 Zn 0.0000 0.5000 0.1390  -0.02
9 Pu 0.0000 0.5000 0.7433  5.25
10 Pu 0.5000 0.0000 0.2567  5.25

---

Record 2
First-principles (PBE) data for an optimized crystal structure of Pu2Zn3GaCu4, as listed in Alexandria via LeMat-Bulk.

Cell: 4.1702 4.1702 10.1118 Å, 90.00 90.00 90.00°
Each line ends with the local moment (μB).
Positions (direct):
1 Cu 0.0000 0.5000 0.3663  0.01
2 Cu 0.5000 0.5000 0.0000  0.01
3 Cu 0.0000 0.0000 0.0000  0.01
4 Cu 0.5000 0.0000 0.6337  0.01
5 Zn 0.5000 0.0000 0.8716  0.03
6 Zn 0.0000 0.5000 0.1284  0.03
7 Zn 0.0000 0.0000 0.5000  0.02
8 Pu 0.0000 0.5000 0.7525  5.34
9 Pu 0.5000 0.0000 0.2475  5.34
10 Ga 0.5000 0.5000 0.5000  -0.02

---

| no. | magnetization (μB per cell) | ΔH_f (0 K) (eV per atom) | calculated volume (Å³ per cell) |
| --- | --- | --- | --- |
| 1 | 10.8 | -0.23 | 186 |
| 2 | 11.7 | -0.08 | 176 |